No. 1
Material: Ba3MgW2N6
Method: DFT, PBE
State: relaxed

Unit cell a=6.0836 b=6.0836 c=7.3388 alpha=90.00 beta=90.00 gamma=120.00
With the nearest neighbours (Å) after each atom.
Sites, in units of the cell vectors:
Ba  0.0000  0.0000  0.0000  6 N 2.87
Ba  0.3333  0.6667  0.6615  9 N 3.05-3.13, 1 W 3.29
Ba  0.6667  0.3333  0.3385  9 N 3.05-3.13, 1 W 3.29
Mg  0.0000  0.0000  0.5000  6 N 2.31
W  0.3333  0.6667  0.2129  3 N 1.84
W  0.6667  0.3333  0.7871  3 N 1.84
N  0.1710  0.3420  0.3038  1 W 1.84
N  0.1710  0.8290  0.3038  1 W 1.84
N  0.3420  0.1710  0.6962  1 W 1.84
N  0.6580  0.8290  0.3038  1 W 1.84
N  0.8290  0.1710  0.6962  1 W 1.84
N  0.8290  0.6580  0.6962  1 W 1.84

ΔE_f (raw)	-7.48	eV per formula unit
spin magnetization	1.3	μB/f.u.



No. 2
Material: Sm2DyAl12Fe3
Method: DFT, PBE
State: relaxed

Unit cell a=7.9150 b=7.9150 c=7.9150 alpha=65.24 beta=65.24 gamma=65.24
With the nearest neighbours (Å) after each atom.
Sites, in units of the cell vectors:
Sm  0.0831  0.0831  0.0831  6 Al 3.05-3.41, 1 Sm 3.09
Sm  0.9169  0.9169  0.9169  6 Al 3.05-3.41, 1 Sm 3.09
Dy  0.5000  0.5000  0.5000  12 Al 3.26-3.36
Al  0.0278  0.6629  0.6629  1 Fe 2.29
Al  0.2261  0.2261  0.5865  2 Fe 2.21
Al  0.2261  0.5865  0.2261  2 Fe 2.21
Al  0.3371  0.3371  0.9722  1 Fe 2.29
Al  0.3371  0.9722  0.3371  1 Fe 2.29
Al  0.4135  0.7739  0.7739  2 Fe 2.21
Al  0.5865  0.2261  0.2261  2 Fe 2.21
Al  0.6629  0.0278  0.6629  1 Fe 2.29
Al  0.6629  0.6629  0.0278  1 Fe 2.29
Al  0.7739  0.4135  0.7739  2 Fe 2.21
Al  0.7739  0.7739  0.4135  2 Fe 2.21
Al  0.9722  0.3371  0.3371  1 Fe 2.29
Fe  0.0000  0.5000  0.5000  6 Al 2.21-2.29
Fe  0.5000  0.0000  0.5000  6 Al 2.21-2.29
Fe  0.5000  0.5000  0.0000  6 Al 2.21-2.29

ΔH_f (0 K)	242	kJ/mol of formula units
spin magnetization	0.0	μB/f.u.